Record 1
# Li2Mg2InSnPt2

A geometry-optimized Li2Mg2InSnPt2 structure (PBE, OQMD). Values from VASP.

Results
The calculation puts the total energy at -3.8765 eV/atom. Its space group is No. 115.

Geometry as Quantum ESPRESSO input:
```
&SYSTEM
  ibrav = 0, nat = 8, ntyp = 5
/
ATOMIC_SPECIES
Sn 118.71 Sn.upf
Mg 24.30 Mg.upf
Li 6.94 Li.upf
Pt 195.08 Pt.upf
In 114.82 In.upf
ATOMIC_POSITIONS crystal
Sn 0.5000 0.5000 0.0000
Mg 0.0000 0.0000 0.0000
Mg 0.5000 0.5000 0.5000
Li 0.5000 0.0000 0.7488
Li 0.0000 0.5000 0.2512
Pt 0.5000 0.0000 0.2450
Pt 0.0000 0.5000 0.7550
In 0.0000 0.0000 0.5000
CELL_PARAMETERS angstrom
-2.6936 3.5380 1.1105
-2.7631 -0.9997 -3.5174
-3.4932 -3.8657 3.8429
```



Record 2
# Ba2TcPbN6

A geometry-optimized Ba2TcPbN6 structure (PBE, OQMD). Values from VASP.

Results
The calculation puts the total energy at -6.2786 eV/atom. Its space group is No. 12.

Geometry as Quantum ESPRESSO input:
```
&SYSTEM
  ibrav = 0, nat = 10, ntyp = 4
/
ATOMIC_SPECIES
Tc 98.00 Tc.upf
Pb 207.20 Pb.upf
N 14.01 N.upf
Ba 137.33 Ba.upf
ATOMIC_POSITIONS crystal
Tc 0.5000 0.5000 0.5000
Pb 0.0000 0.0000 0.0000
N 0.2522 0.7178 0.7161
N 0.7178 0.2522 0.7161
N 0.2690 0.2690 0.2409
N 0.7478 0.2822 0.2839
N 0.2822 0.7478 0.2839
N 0.7310 0.7310 0.7591
Ba 0.2494 0.2494 0.7483
Ba 0.7506 0.7506 0.2517
CELL_PARAMETERS angstrom
0.1369 5.8408 1.3070
-4.9710 3.3008 -0.4855
0.4851 -4.0934 4.4179
```



Record 3
# Sr2NbIrN2O4

A geometry-optimized Sr2NbIrN2O4 structure (PBE, OQMD). Values from VASP.

Results
The calculation puts the total energy at -7.5398 eV/atom. Its space group is No. 1.

Geometry as Quantum ESPRESSO input:
```
&SYSTEM
  ibrav = 0, nat = 20, ntyp = 5
/
ATOMIC_SPECIES
O 16.00 O.upf
Sr 87.62 Sr.upf
N 14.01 N.upf
Ir 192.22 Ir.upf
Nb 92.91 Nb.upf
ATOMIC_POSITIONS crystal
O 0.7826 0.7147 0.5201
O 0.2870 0.7843 0.5214
O 0.4987 0.4647 0.7441
O 0.2157 0.2857 0.4891
O 0.7156 0.2178 0.4868
O 0.9964 0.0329 0.7492
O 0.7470 0.2417 0.0128
O 0.2437 0.2493 0.0120
Sr 0.4958 0.0165 0.2423
Sr 0.0073 0.4830 0.7533
Sr 0.9954 0.4838 0.2427
Sr 0.5064 0.0171 0.7528
N 0.0021 0.9722 0.2505
N 0.2488 0.7576 0.9880
N 0.7562 0.7520 0.9891
N 0.5001 0.5282 0.2557
Ir 0.5008 0.5049 0.4903
Ir 0.9998 0.9784 0.0072
Nb 0.0010 0.9938 0.4906
Nb 0.4998 0.5213 0.0019
CELL_PARAMETERS angstrom
-4.1618 2.2040 -3.1154
-1.0168 -5.1025 -2.2545
-5.2168 -1.5665 5.8177
```



Record 4
# SrAg2TeSe

A geometry-optimized SrAg2TeSe structure (PBE, OQMD). Values from VASP.

Results
The calculation puts the total energy at -3.5987 eV/atom. Its space group is No. 156.

Geometry as Quantum ESPRESSO input:
```
&SYSTEM
  ibrav = 0, nat = 5, ntyp = 4
/
ATOMIC_SPECIES
Ag 107.87 Ag.upf
Sr 87.62 Sr.upf
Se 78.96 Se.upf
Te 127.60 Te.upf
ATOMIC_POSITIONS crystal
Ag 0.6667 0.3333 0.3692
Ag 0.3333 0.6667 0.6156
Sr 0.0000 0.0000 0.0200
Se 0.3333 0.6667 0.2395
Te 0.6667 0.3333 0.7556
CELL_PARAMETERS angstrom
-1.8918 1.3561 3.9482
4.0410 -2.1624 0.0188
3.5027 6.5408 -0.5682
```



Record 5
# Cu2Ag3

A geometry-optimized Cu2Ag3 structure (PBE, OQMD). Values from VASP.

Results
Its space group is No. 8. Its energy relative to the elements is 43.5 kJ/mol of formula units.

Geometry as Quantum ESPRESSO input:
```
&SYSTEM
  ibrav = 0, nat = 10, ntyp = 2
/
ATOMIC_SPECIES
Ag 107.87 Ag.upf
Cu 63.55 Cu.upf
ATOMIC_POSITIONS crystal
Ag 0.0913 0.0913 0.6969
Ag 0.5936 0.5936 0.1983
Ag 0.2033 0.2033 0.4051
Ag 0.4027 0.4027 0.7898
Ag 0.3074 0.3074 0.1129
Ag 0.7012 0.7012 0.8992
Cu 0.4944 0.4944 0.4825
Cu 0.9958 0.9958 0.0119
Cu 0.8044 0.8044 0.6006
Cu 0.9060 0.9060 0.3030
CELL_PARAMETERS angstrom
11.3283 -1.4285 0.0000
11.3283 1.4285 0.0000
-0.4575 0.0000 4.8290
```



Record 6
# Sc4Nb2Au3N3

A geometry-optimized Sc4Nb2Au3N3 structure (PBE, OQMD). Values from VASP.

Results
The calculation puts the total energy at -7.7160 eV/atom. Its space group is No. 15.

Geometry as Quantum ESPRESSO input:
```
&SYSTEM
  ibrav = 0, nat = 24, ntyp = 4
/
ATOMIC_SPECIES
N 14.01 N.upf
Au 196.97 Au.upf
Sc 44.96 Sc.upf
Nb 92.91 Nb.upf
ATOMIC_POSITIONS crystal
N 0.5000 0.0000 0.0000
N 0.0000 0.5000 0.5000
N 0.6704 0.1593 0.5000
N 0.8407 0.3296 0.0000
N 0.1593 0.6704 0.0000
N 0.3296 0.8407 0.5000
Au 0.5822 0.7267 0.2489
Au 0.8917 0.1083 0.2500
Au 0.7267 0.5822 0.7489
Au 0.2733 0.4178 0.2511
Au 0.1083 0.8917 0.7500
Au 0.4178 0.2733 0.7511
Sc 0.1317 0.3035 0.9081
Sc 0.3035 0.1317 0.4081
Sc 0.6965 0.8683 0.5919
Sc 0.9670 0.8053 0.4082
Sc 0.8683 0.6965 0.0919
Sc 0.1947 0.0330 0.0918
Sc 0.0330 0.1947 0.5918
Sc 0.8053 0.9670 0.9082
Nb 0.6406 0.4741 0.4230
Nb 0.3594 0.5259 0.5770
Nb 0.5259 0.3594 0.0770
Nb 0.4741 0.6406 0.9230
CELL_PARAMETERS angstrom
-1.0735 3.9058 3.8090
-5.0351 2.3510 0.1894
-2.1944 -11.8956 7.5115
```



Record 7
# MgCoCuSe3

A geometry-optimized MgCoCuSe3 structure (PBE, OQMD). Values from VASP.

Results
The calculation puts the total energy at -4.1242 eV/atom. Its space group is No. 63.

Geometry as Quantum ESPRESSO input:
```
&SYSTEM
  ibrav = 0, nat = 12, ntyp = 4
/
ATOMIC_SPECIES
Se 78.96 Se.upf
Co 58.93 Co.upf
Mg 24.30 Mg.upf
Cu 63.55 Cu.upf
ATOMIC_POSITIONS crystal
Se 0.3644 0.6356 0.0320
Se 0.6356 0.3644 0.9680
Se 0.3644 0.6356 0.4680
Se 0.9132 0.0868 0.7500
Se 0.0868 0.9132 0.2500
Se 0.6356 0.3644 0.5320
Co 0.0000 0.0000 0.0000
Co 0.0000 0.0000 0.5000
Mg 0.2376 0.7624 0.7500
Mg 0.7624 0.2376 0.2500
Cu 0.4533 0.5467 0.2500
Cu 0.5467 0.4533 0.7500
CELL_PARAMETERS angstrom
1.8096 -6.0298 0.0000
1.8096 6.0298 0.0000
0.0000 0.0000 9.5340
```



Record 8
# AlCd2Co

A geometry-optimized AlCd2Co structure (PBE, OQMD). Values from VASP.

Results
The calculation puts the total energy at -2.9365 eV/atom. Its space group is No. 216.

Geometry as Quantum ESPRESSO input:
```
&SYSTEM
  ibrav = 0, nat = 4, ntyp = 3
/
ATOMIC_SPECIES
Cd 112.41 Cd.upf
Co 58.93 Co.upf
Al 26.98 Al.upf
ATOMIC_POSITIONS crystal
Cd 0.7500 0.7500 0.7500
Cd 0.0000 0.0000 0.0000
Co 0.2500 0.2500 0.2500
Al 0.5000 0.5000 0.5000
CELL_PARAMETERS angstrom
0.0000 3.1950 3.1950
3.1950 0.0000 3.1950
3.1950 3.1950 0.0000
```



Record 9
# TmInNi

A geometry-optimized TmInNi structure (PBE, OQMD). Values from VASP.

Results
The calculation puts the total energy at -4.6206 eV/atom. Its space group is No. 216.

Geometry as Quantum ESPRESSO input:
```
&SYSTEM
  ibrav = 0, nat = 3, ntyp = 3
/
ATOMIC_SPECIES
Tm 168.93 Tm.upf
In 114.82 In.upf
Ni 58.69 Ni.upf
ATOMIC_POSITIONS crystal
Tm 0.7500 0.7500 0.7500
In 0.2500 0.2500 0.2500
Ni 0.0000 0.0000 0.0000
CELL_PARAMETERS angstrom
0.0000 3.2009 3.2009
3.2009 0.0000 3.2009
3.2009 3.2009 0.0000
```



Record 10
# SrAgAu

A geometry-optimized SrAgAu structure (PBE, OQMD). Values from VASP.

Results
The calculation puts the total energy at -3.1409 eV/atom. Its space group is No. 12.

Geometry as Quantum ESPRESSO input:
```
&SYSTEM
  ibrav = 0, nat = 6, ntyp = 3
/
ATOMIC_SPECIES
Ag 107.87 Ag.upf
Sr 87.62 Sr.upf
Au 196.97 Au.upf
ATOMIC_POSITIONS crystal
Ag 0.8396 0.8396 0.3963
Ag 0.1604 0.1604 0.6037
Sr 0.4587 0.4587 0.2061
Sr 0.5413 0.5413 0.7939
Au 0.1643 0.1643 0.2026
Au 0.8357 0.8357 0.7974
CELL_PARAMETERS angstrom
5.5969 -2.3859 0.0000
5.5969 2.3859 0.0000
-5.0295 0.0000 5.7275
```



Record 11
# HfTlFeIr

A geometry-optimized HfTlFeIr structure (PBE, OQMD). Values from VASP.

Results
The calculation puts the total energy at -7.4353 eV/atom. Its space group is No. 216.

Geometry as Quantum ESPRESSO input:
```
&SYSTEM
  ibrav = 0, nat = 4, ntyp = 4
/
ATOMIC_SPECIES
Fe 55.84 Fe.upf
Tl 204.38 Tl.upf
Ir 192.22 Ir.upf
Hf 178.49 Hf.upf
ATOMIC_POSITIONS crystal
Fe 0.7500 0.7500 0.7500
Tl 0.0000 0.0000 0.0000
Ir 0.2500 0.2500 0.2500
Hf 0.5000 0.5000 0.5000
CELL_PARAMETERS angstrom
0.0000 3.2123 3.2123
3.2123 0.0000 3.2123
3.2123 3.2123 0.0000
```



Record 12
# PrAsPdO

A geometry-optimized PrAsPdO structure (PBE, OQMD). Values from VASP.

Results
The calculation puts the total energy at -6.3488 eV/atom. Its space group is No. 26.

Geometry as Quantum ESPRESSO input:
```
&SYSTEM
  ibrav = 0, nat = 8, ntyp = 4
/
ATOMIC_SPECIES
Pd 106.42 Pd.upf
As 74.92 As.upf
Pr 140.91 Pr.upf
O 16.00 O.upf
ATOMIC_POSITIONS crystal
Pd 0.7560 0.0000 0.9420
Pd 0.2183 0.0000 0.4421
As 0.2545 0.0000 0.7764
As 0.7198 0.0000 0.2764
Pr 0.7245 0.5000 0.6056
Pr 0.2500 0.5000 0.1056
O 0.2224 0.5000 0.4390
O 0.7514 0.5000 0.9389
CELL_PARAMETERS angstrom
4.2599 0.0000 0.0000
0.0000 4.6481 0.0000
-0.0017 0.0000 7.3297
```



Record 13
# Tm3ReO6

A geometry-optimized Tm3ReO6 structure (PBE, OQMD). Values from VASP.

Results
The calculation puts the total energy at -8.3476 eV/atom. Its space group is No. 14.

Geometry as Quantum ESPRESSO input:
```
&SYSTEM
  ibrav = 0, nat = 20, ntyp = 3
/
ATOMIC_SPECIES
O 16.00 O.upf
Tm 168.93 Tm.upf
Re 186.21 Re.upf
ATOMIC_POSITIONS crystal
O 0.6068 0.9182 0.7678
O 0.3932 0.0818 0.2322
O 0.7497 0.3093 0.5638
O 0.1047 0.3154 0.9361
O 0.8953 0.8154 0.5639
O 0.1047 0.1846 0.4361
O 0.8953 0.6846 0.0639
O 0.6068 0.5818 0.2678
O 0.2503 0.6907 0.4362
O 0.7497 0.1907 0.0638
O 0.3932 0.4182 0.7322
O 0.2503 0.8093 0.9362
Tm 0.7826 0.5706 0.7502
Tm 0.7826 0.9294 0.2502
Tm 0.5000 0.5000 0.0000
Tm 0.2174 0.4294 0.2498
Tm 0.5000 0.0000 0.5000
Tm 0.2174 0.0706 0.7498
Re 0.0000 0.0000 0.0000
Re 0.0000 0.5000 0.5000
CELL_PARAMETERS angstrom
5.4034 0.0000 0.0000
0.0000 5.9166 0.0000
-4.8163 0.0000 7.6002
```



Record 14
# Ho2ErSn3Pd2Pt

A geometry-optimized Ho2ErSn3Pd2Pt structure (PBE, OQMD). Values from VASP.

Results
The calculation puts the total energy at -5.6608 eV/atom. Its space group is No. 38.

Geometry as Quantum ESPRESSO input:
```
&SYSTEM
  ibrav = 0, nat = 9, ntyp = 5
/
ATOMIC_SPECIES
Er 167.26 Er.upf
Sn 118.71 Sn.upf
Pt 195.08 Pt.upf
Pd 106.42 Pd.upf
Ho 164.93 Ho.upf
ATOMIC_POSITIONS crystal
Er 0.0000 0.3997 0.3997
Sn 0.5000 0.0001 0.2625
Sn 0.5000 0.7377 0.7377
Sn 0.5000 0.2625 0.0001
Pt 0.0000 0.0006 0.0006
Pd 0.5000 0.3336 0.6659
Pd 0.5000 0.6659 0.3336
Ho 0.0000 0.0000 0.5999
Ho 0.0000 0.5999 0.0000
CELL_PARAMETERS angstrom
3.9315 0.0000 0.0000
0.0000 6.5456 3.7827
0.0000 -6.5456 3.7827
```



Record 15
# Ho2CoSi4Ni

A geometry-optimized Ho2CoSi4Ni structure (PBE, OQMD). Values from VASP.

Results
The calculation puts the total energy at -6.2529 eV/atom. Its space group is No. 38.

Geometry as Quantum ESPRESSO input:
```
&SYSTEM
  ibrav = 0, nat = 8, ntyp = 4
/
ATOMIC_SPECIES
Ni 58.69 Ni.upf
Si 28.09 Si.upf
Co 58.93 Co.upf
Ho 164.93 Ho.upf
ATOMIC_POSITIONS crystal
Ni 0.0000 0.8230 0.8230
Si 0.5000 0.0426 0.0426
Si 0.0000 0.9604 0.9604
Si 0.0000 0.2478 0.2478
Si 0.5000 0.7485 0.7485
Co 0.5000 0.1793 0.1793
Ho 0.5000 0.3923 0.3923
Ho 0.0000 0.6061 0.6061
CELL_PARAMETERS angstrom
-2.6155 -2.8239 -0.9625
-1.7895 -1.1086 8.1148
-4.3759 1.6842 6.9495
```



Record 16
# Nd6S4N3Cl

A geometry-optimized Nd6S4N3Cl structure (PBE, OQMD). Values from VASP.

Results
The calculation puts the total energy at -6.9434 eV/atom. Its space group is No. 2.

Geometry as Quantum ESPRESSO input:
```
&SYSTEM
  ibrav = 0, nat = 56, ntyp = 4
/
ATOMIC_SPECIES
Nd 144.24 Nd.upf
S 32.06 S.upf
N 14.01 N.upf
Cl 35.45 Cl.upf
ATOMIC_POSITIONS crystal
Nd 0.2501 0.2657 0.8311
Nd 0.2500 0.0886 0.9596
Nd 0.7499 0.4114 0.4596
Nd 0.2499 0.2655 0.5657
Nd 0.2499 0.6163 0.2948
Nd 0.2503 0.0551 0.6911
Nd 0.2501 0.7654 0.9343
Nd 0.2498 0.1163 0.2053
Nd 0.7500 0.7345 0.4343
Nd 0.7499 0.9114 0.0404
Nd 0.7501 0.4429 0.9262
Nd 0.7499 0.2343 0.3311
Nd 0.2498 0.5571 0.0738
Nd 0.7499 0.7343 0.1689
Nd 0.2502 0.5551 0.8089
Nd 0.7499 0.9429 0.5738
Nd 0.7512 0.8837 0.7948
Nd 0.2499 0.5886 0.5404
Nd 0.2500 0.0571 0.4262
Nd 0.7500 0.2345 0.0657
Nd 0.7498 0.4448 0.1911
Nd 0.7498 0.9449 0.3089
Nd 0.7500 0.3837 0.7052
Nd 0.2501 0.7657 0.6689
S 0.2499 0.2857 0.3966
S 0.2499 0.8539 0.4928
S 0.2499 0.3539 0.0073
S 0.2499 0.3176 0.1411
S 0.7502 0.2143 0.8966
S 0.7500 0.7143 0.6033
S 0.7500 0.1824 0.6411
S 0.7500 0.6461 0.9927
S 0.7502 0.6824 0.8589
S 0.2499 0.7857 0.1034
S 0.2499 0.4561 0.6346
S 0.7498 0.0439 0.1346
S 0.7500 0.5439 0.3654
S 0.2499 0.8176 0.3589
S 0.2500 0.9561 0.8654
S 0.7499 0.1461 0.5072
N 0.2508 0.8881 0.7398
N 0.2500 0.4393 0.8763
N 0.2501 0.3881 0.7602
N 0.7499 0.0606 0.3763
N 0.7498 0.6119 0.2398
N 0.7500 0.5607 0.1237
N 0.2500 0.4021 0.5094
N 0.7499 0.1119 0.2603
N 0.2499 0.9020 0.9906
N 0.7499 0.5979 0.4906
N 0.2499 0.9394 0.6236
N 0.7500 0.0979 0.0094
Cl 0.7501 0.6321 0.7323
Cl 0.7502 0.1321 0.7677
Cl 0.2499 0.3679 0.2677
Cl 0.2499 0.8679 0.2323
CELL_PARAMETERS angstrom
4.0175 0.0000 0.0000
-0.0009 11.7344 0.0000
-0.0006 -0.0075 26.6440
```



Record 17
# PaBPO

A geometry-optimized PaBPO structure (PBE, OQMD). Values from VASP.

Results
The calculation puts the total energy at -7.1214 eV/atom. Its space group is No. 26.

Geometry as Quantum ESPRESSO input:
```
&SYSTEM
  ibrav = 0, nat = 8, ntyp = 4
/
ATOMIC_SPECIES
O 16.00 O.upf
P 30.97 P.upf
Pa 231.04 Pa.upf
B 10.81 B.upf
ATOMIC_POSITIONS crystal
O 0.5000 0.2136 0.4428
O 0.5000 0.7864 0.9428
P 0.0000 0.2064 0.7563
P 0.0000 0.7936 0.2563
Pa 0.5000 0.2928 0.1022
Pa 0.5000 0.7072 0.6022
B 0.0000 0.1546 0.4527
B 0.0000 0.8454 0.9527
CELL_PARAMETERS angstrom
-1.1424 1.7609 -3.3471
-3.2154 -2.6956 -0.3207
-3.8815 4.2090 3.5390
```



Record 18
# Li2Mg2TlGaAu2

A geometry-optimized Li2Mg2TlGaAu2 structure (PBE, OQMD). Values from VASP.

Results
The calculation puts the total energy at -2.7553 eV/atom. Its space group is No. 115.

Geometry as Quantum ESPRESSO input:
```
&SYSTEM
  ibrav = 0, nat = 8, ntyp = 5
/
ATOMIC_SPECIES
Tl 204.38 Tl.upf
Mg 24.30 Mg.upf
Au 196.97 Au.upf
Li 6.94 Li.upf
Ga 69.72 Ga.upf
ATOMIC_POSITIONS crystal
Tl 0.5000 0.5000 0.5000
Mg 0.0000 0.0000 0.5000
Mg 0.5000 0.5000 0.0000
Au 0.0000 0.5000 0.2213
Au 0.5000 0.0000 0.7787
Li 0.5000 0.0000 0.2333
Li 0.0000 0.5000 0.7667
Ga 0.0000 0.0000 0.0000
CELL_PARAMETERS angstrom
4.6255 0.0000 0.0000
0.0000 4.6255 0.0000
0.0000 0.0000 6.6308
```



Record 19
# Dy3Cd3Ga2Au

A geometry-optimized Dy3Cd3Ga2Au structure (PBE, OQMD). Values from VASP.

Results
The calculation puts the total energy at -3.4464 eV/atom. Its space group is No. 189.

Geometry as Quantum ESPRESSO input:
```
&SYSTEM
  ibrav = 0, nat = 9, ntyp = 4
/
ATOMIC_SPECIES
Ga 69.72 Ga.upf
Cd 112.41 Cd.upf
Dy 162.50 Dy.upf
Au 196.97 Au.upf
ATOMIC_POSITIONS crystal
Ga 0.6667 0.3333 0.0000
Ga 0.3333 0.6667 0.0000
Cd 0.7451 0.0000 0.0000
Cd 0.0000 0.7451 0.0000
Cd 0.2549 0.2549 0.0000
Dy 0.4131 0.0000 0.5000
Dy 0.5869 0.5869 0.5000
Dy 0.0000 0.4131 0.5000
Au 0.0000 0.0000 0.5000
CELL_PARAMETERS angstrom
7.3395 0.0000 0.0000
-3.6698 6.3562 0.0000
0.0000 0.0000 4.3442
```



Record 20
# PmGdAsO

A geometry-optimized PmGdAsO structure (PBE, OQMD). Values from VASP.

Results
The calculation puts the total energy at -6.7083 eV/atom. Its space group is No. 26.

Geometry as Quantum ESPRESSO input:
```
&SYSTEM
  ibrav = 0, nat = 8, ntyp = 4
/
ATOMIC_SPECIES
O 16.00 O.upf
Gd 157.25 Gd.upf
Pm 145.00 Pm.upf
As 74.92 As.upf
ATOMIC_POSITIONS crystal
O 0.5000 0.3336 0.3753
O 0.5000 0.6664 0.8753
Gd 0.5000 0.6111 0.5106
Gd 0.5000 0.3889 0.0106
Pm 0.0000 0.7949 0.9371
Pm 0.0000 0.2051 0.4371
As 0.0000 0.8330 0.4311
As 0.0000 0.1670 0.9311
CELL_PARAMETERS angstrom
4.2768 0.0000 0.0000
0.0000 7.7207 0.0000
0.0000 0.0000 6.0573
```